Entry 1:
Computed, not measured: ErTm2Se3 after structural relaxation at the PBE level of DFT.

Cell: 3.9958 3.9958 9.9112 Å, 90.00 90.00 120.00°
Space group P-3m1 (No. 164)
Symmetry-distinct sites (fractional):
Er (0.0000, 0.0000, 0.0000) [1 per cell]
Tm (0.3333, 0.6667, 0.6670) [2 per cell]
Se (0.0000, 0.0000, 0.5000) [1 per cell]
Se (0.3333, 0.6667, 0.1684) [2 per cell]

Values from the calculation:
M_tot ... 0.004 Bohr magnetons per cell
Raw total energy ... -33.97 eV per formula unit

Entry 2:
Computed, not measured: MgCoNiTe3 after structural relaxation at the PBE level of DFT.

Cell: 3.768 12.770 10.445 Å, 90.00 90.00 90.00°
Space group Cmcm (No. 63)
Symmetry-distinct sites (fractional):
Mg (0.000, 0.246, 0.250) [4 per cell]
Co (0.000, 0.000, 0.000) [4 per cell]
Ni (0.000, 0.405, 0.750) [4 per cell]
Te (0.000, 0.045, 0.750) [4 per cell]
Te (0.000, 0.366, 0.518) [8 per cell]

Values from the calculation:
Distance to the lowest polymorph of the same formula ... 0 meV/atom
M_tot ... 0.018 Bohr magnetons per cell

Entry 3:
Computed, not measured: ThNpIn after structural relaxation at the PBE level of DFT.

Cell: 7.235 7.235 7.235 Å, 90.00 90.00 90.00°
Space group F-43m (No. 216)
Symmetry-distinct sites (fractional):
Th (0.000, 0.000, 0.000) [4 per cell]
Np (0.000, 0.000, 0.500) [4 per cell]
In (0.250, 0.250, 0.750) [4 per cell]

Values from the calculation:
M_tot ... 22.215 Bohr magnetons per cell
Raw total energy ... -21.08 eV per formula unit

Entry 4:
Computed, not measured: BaZrPd2 after structural relaxation at the PBE level of DFT.

Cell: 4.675 3.654 11.447 Å, 90.00 90.00 90.00°
Space group Amm2 (No. 38)
Symmetry-distinct sites (fractional):
Ba (0.000, 0.000, 0.000) [2 per cell]
Zr (0.500, 0.000, 0.731) [2 per cell]
Pd (0.000, 0.000, 0.261) [2 per cell]
Pd (0.500, 0.000, 0.411) [2 per cell]

Values from the calculation:
M_tot ... 0.034 Bohr magnetons per cell
Raw total energy ... -22.04 eV per formula unit

Entry 5:
Computed, not measured: SrYBeAu after structural relaxation at the PBE level of DFT.

Cell: 6.991 6.991 6.991 Å, 90.00 90.00 90.00°
Space group F-43m (No. 216)
Symmetry-distinct sites (fractional):
Sr (0.000, 0.000, 0.000) [4 per cell]
Y (0.250, 0.250, 0.250) [4 per cell]
Be (0.250, 0.250, 0.750) [4 per cell]
Au (0.000, 0.000, 0.500) [4 per cell]

Values from the calculation:
Distance to the lowest polymorph of the same formula ... 181 meV/atom
M_tot ... 0.001 Bohr magnetons per cell

Entry 6:
Computed, not measured: PtAuNO after structural relaxation at the PBE level of DFT.

Cell: 4.337 4.337 5.394 Å, 90.00 90.00 90.00°
Space group P4/nmm (No. 129, origin choice 2)
Symmetry-distinct sites (fractional):
Pt (0.250, 0.250, 0.044) [2 per cell]
Au (0.250, 0.750, 0.500) [2 per cell]
N (0.250, 0.250, 0.675) [2 per cell]
O (0.250, 0.750, 0.000) [2 per cell]

Values from the calculation:
Distance to the lowest polymorph of the same formula ... 668 meV/atom
M_tot ... 0.010 Bohr magnetons per cell

Entry 7:
Computed, not measured: BeSbPd after structural relaxation at the PBE level of DFT.

Cell: 5.855 5.855 5.855 Å, 90.00 90.00 90.00°
Space group F-43m (No. 216)
Symmetry-distinct sites (fractional):
Be (0.000, 0.000, 0.000) [4 per cell]
Sb (0.250, 0.250, 0.250) [4 per cell]
Pd (0.250, 0.250, 0.750) [4 per cell]

Values from the calculation:
Distance to the lowest polymorph of the same formula ... 0 meV/atom

Entry 8:
Computed, not measured: NaCuSi after structural relaxation at the PBE level of DFT.

Cell: 6.053 6.053 6.053 Å, 90.00 90.00 90.00°
Space group F-43m (No. 216)
Symmetry-distinct sites (fractional):
Na (0.000, 0.000, 0.000) [4 per cell]
Cu (0.250, 0.250, 0.250) [4 per cell]
Si (0.000, 0.000, 0.500) [4 per cell]

Values from the calculation:
Raw total energy ... -9.36 eV per formula unit

Entry 9:
Computed, not measured: LiScZnGe after structural relaxation at the PBE level of DFT.

Cell: 6.424 6.424 6.424 Å, 90.00 90.00 90.00°
Space group F-43m (No. 216)
Symmetry-distinct sites (fractional):
Li (0.000, 0.000, 0.000) [4 per cell]
Sc (0.250, 0.250, 0.750) [4 per cell]
Zn (0.250, 0.250, 0.250) [4 per cell]
Ge (0.000, 0.000, 0.500) [4 per cell]

Values from the calculation:
Distance to the lowest polymorph of the same formula ... 220 meV/atom
M_tot ... 0.002 Bohr magnetons per cell

Entry 10:
Computed, not measured: LaYGe2Au2 after structural relaxation at the PBE level of DFT.

Cell: 4.5223 4.5223 7.6791 Å, 90.00 90.00 120.00°
Space group P3m1 (No. 156)
Symmetry-distinct sites (fractional):
La (0.0000, 0.0000, 0.0000) [1 per cell]
Y (0.0000, 0.0000, 0.4956) [1 per cell]
Ge (0.3333, 0.6667, 0.2211) [1 per cell]
Ge (0.6667, 0.3333, 0.6998) [1 per cell]
Au (0.3333, 0.6667, 0.7477) [1 per cell]
Au (0.6667, 0.3333, 0.2979) [1 per cell]

Values from the calculation:
M_tot ... 0.002 Bohr magnetons per cell
Raw total energy ... -32.39 eV per formula unit

Entry 11:
Computed, not measured: YTlCdCo after structural relaxation at the PBE level of DFT.

Cell: 6.913 6.913 6.913 Å, 90.00 90.00 90.00°
Space group F-43m (No. 216)
Symmetry-distinct sites (fractional):
Y (0.000, 0.000, 0.000) [4 per cell]
Tl (0.250, 0.250, 0.250) [4 per cell]
Cd (0.250, 0.250, 0.750) [4 per cell]
Co (0.000, 0.000, 0.500) [4 per cell]

Values from the calculation:
Distance to the lowest polymorph of the same formula ... 0 meV/atom
M_tot ... 3.829 Bohr magnetons per cell

Entry 12:
Computed, not measured: CoTcAgSb after structural relaxation at the PBE level of DFT.

Cell: 6.310 6.310 6.310 Å, 90.00 90.00 90.00°
Space group F-43m (No. 216)
Symmetry-distinct sites (fractional):
Co (0.000, 0.000, 0.000) [4 per cell]
Tc (0.000, 0.000, 0.500) [4 per cell]
Ag (0.250, 0.250, 0.250) [4 per cell]
Sb (0.250, 0.250, 0.750) [4 per cell]

Values from the calculation:
Distance to the lowest polymorph of the same formula ... 0 meV/atom
M_tot ... 3.173 Bohr magnetons per cell

Entry 13:
Computed, not measured: SrDyAgS3 after structural relaxation at the PBE level of DFT.

Cell: 7.624 4.024 9.630 Å, 90.00 105.92 90.00°
Space group P2_1/m (No. 11)
Symmetry-distinct sites (fractional):
Sr (0.241, 0.250, 0.208) [2 per cell]
Dy (0.196, 0.750, 0.653) [2 per cell]
Ag (0.400, 0.250, 0.908) [2 per cell]
S (0.061, 0.750, 0.360) [2 per cell]
S (0.210, 0.750, 0.954) [2 per cell]
S (0.443, 0.250, 0.658) [2 per cell]

Values from the calculation:
M_tot ... 0.002 Bohr magnetons per cell
Raw total energy ... -31.08 eV per formula unit

Entry 14:
Computed, not measured: BaPrAlSe3 after structural relaxation at the PBE level of DFT.

Cell: 4.565 13.683 11.395 Å, 90.00 90.00 90.00°
Space group Cmcm (No. 63)
Symmetry-distinct sites (fractional):
Ba (0.000, 0.242, 0.250) [4 per cell]
Pr (0.000, 0.500, 0.000) [4 per cell]
Al (0.000, 0.021, 0.750) [4 per cell]
Se (0.000, 0.139, 0.582) [8 per cell]
Se (0.000, 0.438, 0.750) [4 per cell]

Values from the calculation:
M_tot ... 0.016 Bohr magnetons per cell
Raw total energy ... -28.97 eV per formula unit

Entry 15:
Computed, not measured: K2Pr2DyMg3Cd after structural relaxation at the PBE level of DFT.

Cell: 4.892 14.317 8.421 Å, 90.00 90.00 90.00°
Space group Amm2 (No. 38)
Symmetry-distinct sites (fractional):
K (0.000, 0.166, 0.000) [4 per cell]
Pr (0.500, 0.185, 0.311) [4 per cell]
Dy (0.500, 0.000, 0.877) [2 per cell]
Mg (0.000, 0.000, 0.293) [2 per cell]
Mg (0.000, 0.107, 0.615) [4 per cell]
Cd (0.500, 0.000, 0.515) [2 per cell]

Values from the calculation:
M_tot ... 0.027 Bohr magnetons per cell
Raw total energy ... -18.74 eV per formula unit

Entry 16:
Computed, not measured: PaCdNO after structural relaxation at the PBE level of DFT.

Cell: 5.076 5.076 4.781 Å, 90.00 90.00 90.00°
Space group P4/nmm (No. 129, origin choice 2)
Symmetry-distinct sites (fractional):
Pa (0.250, 0.750, 0.000) [2 per cell]
Cd (0.250, 0.250, 0.498) [2 per cell]
N (0.250, 0.250, 0.998) [2 per cell]
O (0.250, 0.750, 0.500) [2 per cell]

Values from the calculation:
Distance to the lowest polymorph of the same formula ... 46 meV/atom
M_tot ... 2.231 Bohr magnetons per cell

Entry 17:
Computed, not measured: GdMgZn after structural relaxation at the PBE level of DFT.

Cell: 4.2534 4.2534 9.7465 Å, 90.00 90.00 120.00°
Space group P3m1 (No. 156)
Symmetry-distinct sites (fractional):
Gd (0.0000, 0.0000, 0.0000) [1 per cell]
Gd (0.3333, 0.6667, 0.2798) [1 per cell]
Mg (0.0000, 0.0000, 0.6583) [1 per cell]
Mg (0.6667, 0.3333, 0.4981) [1 per cell]
Zn (0.3333, 0.6667, 0.8047) [1 per cell]
Zn (0.6667, 0.3333, 0.8079) [1 per cell]

Values from the calculation:
M_tot ... 0.624 Bohr magnetons per cell
Raw total energy ... -7.35 eV per formula unit

Entry 18:
Computed, not measured: Tm3Mg3CdGaHg after structural relaxation at the PBE level of DFT.

Cell: 7.3690 7.3690 4.4714 Å, 90.00 90.00 120.00°
Space group P-6 (No. 174)
Symmetry-distinct sites (fractional):
Tm (0.0125, 0.5835, 0.0000) [3 per cell]
Mg (0.0050, 0.2479, 0.5000) [3 per cell]
Cd (0.6667, 0.3333, 0.5000) [1 per cell]
Ga (0.3333, 0.6667, 0.5000) [1 per cell]
Hg (0.0000, 0.0000, 0.0000) [1 per cell]

Values from the calculation:
M_tot ... 0.017 Bohr magnetons per cell
Raw total energy ... -25.61 eV per formula unit

Entry 19:
Computed, not measured: CdRe2Ir after structural relaxation at the PBE level of DFT.

Cell: 6.322 6.322 6.322 Å, 90.00 90.00 90.00°
Space group F-43m (No. 216)
Symmetry-distinct sites (fractional):
Cd (0.000, 0.000, 0.000) [4 per cell]
Re (0.000, 0.000, 0.500) [4 per cell]
Re (0.250, 0.250, 0.250) [4 per cell]
Ir (0.250, 0.250, 0.750) [4 per cell]

Values from the calculation:
M_tot ... 1.298 Bohr magnetons per cell
ΔE_f ... 2.3 eV per formula unit

Entry 20:
Computed, not measured: Li2Mg2Cd2PtAu after structural relaxation at the PBE level of DFT.

Cell: 4.595 4.595 6.560 Å, 90.00 90.00 90.00°
Space group P-4m2 (No. 115)
Symmetry-distinct sites (fractional):
Li (0.000, 0.000, 0.000) [1 per cell]
Li (0.500, 0.500, 0.500) [1 per cell]
Mg (0.000, 0.500, 0.741) [2 per cell]
Cd (0.000, 0.500, 0.255) [2 per cell]
Pt (0.000, 0.000, 0.500) [1 per cell]
Au (0.500, 0.500, 0.000) [1 per cell]

Values from the calculation:
M_tot ... 0.002 Bohr magnetons per cell
Raw total energy ... -21.97 eV per formula unit

Entry 21:
Computed, not measured: ErLuCu2 after structural relaxation at the PBE level of DFT.

Cell: 4.400 5.304 6.967 Å, 90.00 90.00 90.00°
Space group Pmc2_1 (No. 26)
Symmetry-distinct sites (fractional):
Er (0.000, 0.115, 0.000) [2 per cell]
Lu (0.500, 0.385, 0.637) [2 per cell]
Cu (0.000, 0.381, 0.353) [2 per cell]
Cu (0.500, 0.123, 0.285) [2 per cell]

Values from the calculation:
M_tot ... 0.017 Bohr magnetons per cell
ΔE_f ... -1.1 eV per formula unit

Entry 22:
Computed, not measured: NaSbOs after structural relaxation at the PBE level of DFT.

Cell: 6.324 6.324 6.324 Å, 90.00 90.00 90.00°
Space group F-43m (No. 216)
Symmetry-distinct sites (fractional):
Na (0.000, 0.000, 0.000) [4 per cell]
Sb (0.000, 0.000, 0.500) [4 per cell]
Os (0.250, 0.250, 0.250) [4 per cell]

Values from the calculation:
M_tot ... 0.014 Bohr magnetons per cell
Raw total energy ... -14.95 eV per formula unit

Entry 23:
Computed, not measured: TbLuSb after structural relaxation at the PBE level of DFT.

Cell: 7.091 7.091 7.091 Å, 90.00 90.00 90.00°
Space group F-43m (No. 216)
Symmetry-distinct sites (fractional):
Tb (0.000, 0.000, 0.000) [4 per cell]
Lu (0.000, 0.000, 0.500) [4 per cell]
Sb (0.250, 0.250, 0.750) [4 per cell]

Values from the calculation:
M_tot ... 0.385 Bohr magnetons per cell
Raw total energy ... -14.64 eV per formula unit

Entry 24:
Computed, not measured: SrHgNO after structural relaxation at the PBE level of DFT.

Cell: 4.007 6.184 6.425 Å, 90.00 90.00 90.00°
Space group Pmc2_1 (No. 26)
Symmetry-distinct sites (fractional):
Sr (0.000, 0.186, 0.000) [2 per cell]
Hg (0.500, 0.354, 0.510) [2 per cell]
N (0.500, 0.339, 0.179) [2 per cell]
O (0.000, 0.176, 0.627) [2 per cell]

Values from the calculation:
Distance to the lowest polymorph of the same formula ... 175 meV/atom

Entry 25:
Computed, not measured: Pu after structural relaxation at the PBE level of DFT.

Cell: 11.712 11.712 11.712 Å, 90.00 90.00 90.00°
Space group I-43m (No. 217)
Symmetry-distinct sites (fractional):
Pu (0.000, 0.000, 0.000) [2 per cell]
Pu (0.045, 0.361, 0.361) [24 per cell]
Pu (0.093, 0.093, 0.284) [24 per cell]
Pu (0.180, 0.180, 0.820) [8 per cell]

Values from the calculation:
Distance to the lowest polymorph of the same formula ... 196 meV/atom
M_tot ... 346.278 Bohr magnetons per cell
ΔE_f ... 0.2 eV per formula unit